1.
The following is a DFT calculation (PBE-GGA) of a relaxed Sc4Sb2N crystal.

Summary:
**Relative energy among the computed polymorphs**: 109 meV per atom
**Formation energy (no corrections)**: -1.03 eV per atom
**Space group**: No. 11

Cell: 6.1057 6.2095 8.4434 Å, 90.00 109.49 90.00°
Closest atoms and distances in Å follow each position.
Positions (direct):
Sc1 0.5333 0.5018 0.2942  1 N 2.03
Sc2 0.1631 0.7500 0.9585  1 N 2.03
Sc3 0.8369 0.2500 0.0415  1 N 2.03
Sc4 0.5333 0.9982 0.2942  1 N 2.03
Sc5 0.9151 0.2500 0.6552  1 N 2.02
Sc6 0.4667 0.0018 0.7058  1 N 2.03
Sc7 0.4667 0.4982 0.7058  1 N 2.03
Sc8 0.0849 0.7500 0.3448  1 N 2.02
Sb1 0.7054 0.7500 0.0301  9 Sc 2.88-3.20
Sb2 0.2946 0.2500 0.9699  9 Sc 2.88-3.20
Sb3 0.1679 0.2500 0.4017  8 Sc 3.03-3.16
Sb4 0.8321 0.7500 0.5983  8 Sc 3.03-3.16
N1 0.3069 0.7500 0.2133  4 Sc 2.02-2.03
N2 0.6931 0.2500 0.7867  4 Sc 2.02-2.03

***

2.
The following is a DFT calculation (PBE-GGA) of a relaxed Sc2Sb2N crystal.

Summary:
**Relative energy among the computed polymorphs**: 38 meV per atom
**Formation energy (no corrections)**: 0.24 eV per atom
**Space group**: No. 139

Cell: 5.6704 5.6704 5.5033 Å, 58.99 58.99 90.00°
Closest atoms and distances in Å follow each position.
Positions (direct):
Sc1 0.7500 0.2500 0.5000  4 Sb 2.85
Sc2 0.2500 0.7500 0.5000  4 Sb 2.85
Sb1 0.2873 0.2873 0.4254  1 N 2.17
Sb2 0.7127 0.7127 0.5746  1 N 2.17
N1 0.0000 0.0000 0.0000  2 Sb 2.17

***

3.
The following is a DFT calculation (PBE-GGA) of a relaxed Sc2SbN crystal.

Summary:
**Relative energy among the computed polymorphs**: 416 meV per atom
**Formation energy (no corrections)**: -0.95 eV per atom
**Space group**: No. 166

Cell: 8.2617 8.2617 8.2617 Å, 23.32 23.32 23.32°
Closest atoms and distances in Å follow each position.
Positions (direct):
Sc1 0.8806 0.8806 0.8806  3 N 2.24
Sc2 0.1194 0.1194 0.1194  3 N 2.24
Sb1 0.0000 0.0000 0.0000  2 Sc 2.88
N1 0.5000 0.5000 0.5000  6 Sc 2.24

***

4.
The following is a DFT calculation (PBE-GGA) of a relaxed Sc6Sb2N crystal.

Summary:
**Formation energy (no corrections)**: -0.70 eV per atom
**Space group**: No. 38

Cell: 3.4425 8.0820 7.9529 Å, 120.54 90.00 90.00°
Closest atoms and distances in Å follow each position.
Positions (direct):
Sc1 0.5000 0.6008 0.0000  1 N 2.10
Sc2 0.5000 0.4250 0.4003  4 Sb 2.96-2.97, 2 Sc 3.25
Sc3 0.5000 0.0247 0.5997  4 Sb 2.96-2.97, 2 Sc 3.25
Sc4 0.0000 0.2630 0.0000  2 Sb 3.13, 10 Sc 3.23-3.44
Sc5 0.0000 0.7864 0.7854  2 N 2.28
Sc6 0.0000 0.0010 0.2146  2 N 2.28
Sb1 0.0000 0.3478 0.6573  9 Sc 2.96-3.20
Sb2 0.0000 0.6906 0.3427  9 Sc 2.96-3.20
N1 0.5000 0.8608 0.0000  5 Sc 2.10-2.28

***

5.
The following is a DFT calculation (PBE-GGA) of a relaxed ScSn2SbN crystal.

Summary:
**Formation energy (no corrections)**: 0.37 eV per atom
**Space group**: No. 123

Cell: 5.8776 5.8776 3.8600 Å, 90.00 90.00 90.00°
Closest atoms and distances in Å follow each position.
Positions (direct):
Sc1 0.0000 0.0000 0.0000  2 N 1.93
Sb1 0.5000 0.5000 0.5000  8 Sn 3.52, 2 Sb 3.86
Sn1 0.0000 0.5000 0.0000  2 Sc 2.94
Sn2 0.5000 0.0000 0.0000  2 Sc 2.94
N1 0.0000 0.0000 0.5000  2 Sc 1.93

***

6.
The following is a DFT calculation (PBE-GGA) of a relaxed Sc2TcSbN crystal.

Summary:
**Formation energy (no corrections)**: -0.79 eV per atom
**Space group**: No. 123

Cell: 4.5144 4.0431 4.5144 Å, 90.00 90.00 90.00°
Closest atoms and distances in Å follow each position.
Positions (direct):
Sc1 0.0000 0.0000 0.5000  2 N 2.26
Sc2 0.5000 0.0000 0.0000  2 N 2.26
Sb1 0.5000 0.5000 0.5000  8 Sc 3.03, 4 Tc 3.19
Tc1 0.0000 0.5000 0.0000  2 N 2.02
N1 0.0000 0.0000 0.0000  2 Tc 2.02, 4 Sc 2.26

***

| no. | volume (Å³ per cell) | magnetization (μB per cell) |
| --- | --- | --- |
| 1 | 301.8 | 0.000 |
| 2 | 121.2 | 0.316 |
| 3 | 77.6 | 0.000 |
| 4 | 190.6 | 0.000 |
| 5 | 133.3 | 0.000 |
| 6 | 82.4 | 0.000 |